Entry 1:
This record from Alexandria describes a relaxed structure of Cs2Ga2Hg. The functional is PBE.

For the formation enthalpy at 0 K, the calculation gives 0.020 eV per atom.

abc: 12.3667 12.3667 12.3667
angles: 161.23 161.23 26.67
Closest atoms and distances in Å follow each position.
Atoms (fractional coordinates):
1 Cs 0.1108 0.1108 0.0000  4 Hg 3.91, 4 Ga 3.91, 4 Cs 4.03
2 Cs 0.8892 0.8892 0.0000  4 Hg 3.91, 4 Ga 3.91, 4 Cs 4.03
3 Ga 0.2500 0.7500 0.5000  4 Ga 2.85
4 Ga 0.7500 0.2500 0.5000  4 Ga 2.85
5 Hg 0.5000 0.5000 0.0000  8 Cs 3.91, 4 Hg 4.03

---

Entry 2:
This record from Alexandria describes a relaxed structure of Tc2Pt2I. The functional is PBE.

The calculation puts the polymorph energy (0 for the lowest one) at 0.000 eV/atom. The uncorrected formation energy is 2.6 eV/f.u.

abc: 6.9138 6.9138 3.7238
angles: 90.00 90.00 90.00
Closest atoms and distances in Å follow each position.
Atoms (fractional coordinates):
1 Tc 0.1270 0.3730 0.0000  1 Tc 2.48, 2 I 2.72, 4 Pt 2.73
2 Tc 0.3730 0.8730 0.0000  1 Tc 2.48, 2 I 2.72, 4 Pt 2.73
3 Tc 0.6270 0.1270 0.0000  1 Tc 2.48, 2 I 2.72, 4 Pt 2.73
4 Tc 0.8730 0.6270 0.0000  1 Tc 2.48, 2 I 2.72, 4 Pt 2.73
5 Pt 0.1591 0.6591 0.5000  6 Tc 2.73-2.80
6 Pt 0.3409 0.1591 0.5000  6 Tc 2.73-2.80
7 Pt 0.6591 0.8409 0.5000  6 Tc 2.73-2.80
8 Pt 0.8409 0.3409 0.5000  6 Tc 2.73-2.80
9 I 0.0000 0.0000 0.0000  4 Tc 2.72
10 I 0.5000 0.5000 0.0000  4 Tc 2.72

---

Entry 3:
This record from Alexandria describes a relaxed structure of Th2Cd16Au. The functional is PBE.

For the formation enthalpy at 0 K, the calculation gives -0.092 eV per atom.

abc: 7.6388 7.6388 7.6388
angles: 82.30 82.30 82.30
Closest atoms and distances in Å follow each position.
Atoms (fractional coordinates):
1 Th 0.0000 0.0000 0.0000  1 Au 3.09, 3 Cd 3.44
2 Th 0.3356 0.3356 0.3356  19 Cd 3.55-3.97
3 Cd 0.0196 0.0196 0.5364  8 Cd 2.85-3.17, 1 Au 2.97
4 Cd 0.0196 0.5364 0.0196  8 Cd 2.85-3.17, 1 Au 2.97
5 Cd 0.1914 0.6530 0.6530  9 Cd 2.89-3.01, 1 Au 3.18
6 Cd 0.3014 0.3014 0.8623  8 Cd 2.85-3.19
7 Cd 0.3014 0.8623 0.3014  8 Cd 2.85-3.19
8 Cd 0.3717 0.6727 0.9693  8 Cd 2.89-3.19
9 Cd 0.3717 0.9693 0.6727  8 Cd 2.89-3.19
10 Cd 0.5364 0.0196 0.0196  8 Cd 2.85-3.17, 1 Au 2.97
11 Cd 0.5868 0.5868 0.5868  9 Cd 2.98-3.26, 1 Au 3.07
12 Cd 0.6530 0.1914 0.6530  9 Cd 2.89-3.01, 1 Au 3.18
13 Cd 0.6530 0.6530 0.1914  9 Cd 2.89-3.01, 1 Au 3.18
14 Cd 0.6727 0.3717 0.9693  8 Cd 2.89-3.19
15 Cd 0.6727 0.9693 0.3717  8 Cd 2.89-3.19
16 Cd 0.8623 0.3014 0.3014  8 Cd 2.85-3.19
17 Cd 0.9693 0.3717 0.6727  8 Cd 2.89-3.19
18 Cd 0.9693 0.6727 0.3717  8 Cd 2.89-3.19
19 Au 0.7929 0.7929 0.7929  7 Cd 2.97-3.18, 1 Th 3.09

---

Entry 4:
This record from Alexandria describes a relaxed structure of BaMg2ZnTe4. The functional is PBE.

The uncorrected formation energy is -7.2 eV/f.u.

abc: 7.7378 7.7378 15.3589
angles: 90.00 90.00 147.28
Closest atoms and distances in Å follow each position.
Atoms (fractional coordinates):
1 Ba 0.1301 0.8699 0.7500  6 Te 3.48-3.53, 2 Zn 3.84
2 Ba 0.8699 0.1301 0.2500  6 Te 3.48-3.53, 2 Zn 3.84
3 Mg 0.3779 0.6221 0.5583  6 Te 2.97-3.12
4 Mg 0.3779 0.6221 0.9417  6 Te 2.97-3.12
5 Mg 0.6221 0.3779 0.0583  6 Te 2.97-3.12
6 Mg 0.6221 0.3779 0.4417  6 Te 2.97-3.12
7 Zn 0.1569 0.8431 0.2500  4 Te 2.64-2.68
8 Zn 0.8431 0.1569 0.7500  4 Te 2.64-2.68
9 Te 0.0000 0.0000 0.0000  4 Mg 2.97
10 Te 0.0000 0.0000 0.5000  4 Mg 2.97
11 Te 0.2554 0.7446 0.1068  1 Zn 2.64
12 Te 0.2554 0.7446 0.3932  1 Zn 2.64
13 Te 0.4478 0.5522 0.7500  2 Zn 2.68
14 Te 0.5522 0.4478 0.2500  2 Zn 2.68
15 Te 0.7446 0.2554 0.6068  1 Zn 2.64
16 Te 0.7446 0.2554 0.8932  1 Zn 2.64

---

Entry 5:
This record from Alexandria describes a relaxed structure of CaZn2Ni. The functional is PBE.

For the formation enthalpy at 0 K, the calculation gives -0.076 eV per atom.

abc: 3.1277 4.1609 5.7477
angles: 90.00 105.65 90.00
Closest atoms and distances in Å follow each position.
Atoms (fractional coordinates):
1 Ca 0.0000 0.0000 0.0000  2 Ni 2.88, 8 Zn 3.08-3.13, 2 Ca 3.13
2 Zn 0.3330 0.5000 0.6941  2 Ni 2.48, 2 Zn 2.61-2.71
3 Zn 0.6670 0.5000 0.3059  2 Ni 2.48, 2 Zn 2.61-2.71
4 Ni 0.5000 0.0000 0.5000  4 Zn 2.48

---

Entry 6:
This record from Alexandria describes a relaxed structure of Zr2ScRe. The functional is PBE.

For the formation enthalpy at 0 K, the calculation gives -0.110 eV per atom.

abc: 5.7612 5.7612 5.7612
angles: 145.51 128.95 63.07
Closest atoms and distances in Å follow each position.
Atoms (fractional coordinates):
1 Zr 0.2132 0.2132 0.0000  2 Re 2.70
2 Zr 0.7868 0.7868 0.0000  2 Re 2.70
3 Sc 0.5000 0.0000 0.5000  4 Re 3.01, 8 Zr 3.25-3.29
4 Re 0.0000 0.5000 0.5000  4 Zr 2.70, 4 Sc 3.01

---

Entry 7:
This record from Alexandria describes a relaxed structure of CaGdPdRh. The functional is PBE.

For the formation enthalpy at 0 K, the calculation gives -0.675 eV per atom.

abc: 4.9278 4.9278 4.9278
angles: 60.00 60.00 60.00
Closest atoms and distances in Å follow each position.
Atoms (fractional coordinates):
1 Ca 0.0000 0.0000 0.0000  4 Rh 3.02, 4 Pd 3.02
2 Gd 0.5000 0.5000 0.5000  4 Rh 3.02, 4 Pd 3.02
3 Pd 0.7500 0.7500 0.7500  4 Gd 3.02, 4 Ca 3.02
4 Rh 0.2500 0.2500 0.2500  4 Gd 3.02, 4 Ca 3.02

---

Entry 8:
This record from Alexandria describes a relaxed structure of NbV4Mo. The functional is PBE.

The calculation puts the polymorph energy (0 for the lowest one) at 0.324 eV/atom. For the formation enthalpy at 0 K, the calculation gives 0.269 eV per atom.

abc: 6.9199 6.9199 5.0248
angles: 105.38 105.38 53.42
Closest atoms and distances in Å follow each position.
Atoms (fractional coordinates):
1 Nb 0.2104 0.2104 0.1034  1 Mo 2.71, 8 V 2.76-2.97
2 Nb 0.7896 0.7896 0.8966  1 Mo 2.71, 8 V 2.76-2.97
3 V 0.0607 0.6994 0.4590  2 V 2.25-2.48
4 V 0.1882 0.8118 0.0000  1 V 2.34, 2 Mo 2.47
5 V 0.3006 0.9393 0.5410  2 V 2.25-2.48
6 V 0.3267 0.3267 0.6877  4 V 2.48-2.69, 1 Mo 2.65
7 V 0.6733 0.6733 0.3123  4 V 2.48-2.69, 1 Mo 2.65
8 V 0.6994 0.0607 0.4590  2 V 2.25-2.48
9 V 0.8118 0.1882 0.0000  1 V 2.34, 2 Mo 2.47
10 V 0.9393 0.3006 0.5410  2 V 2.25-2.48
11 Mo 0.4395 0.4395 0.2250  5 V 2.47-2.65, 1 Nb 2.71, 1 Mo 2.72
12 Mo 0.5605 0.5605 0.7750  5 V 2.47-2.65, 1 Nb 2.71, 1 Mo 2.72

---

Entry 9:
This record from Alexandria describes a relaxed structure of CsSeBr3. The functional is PBE.

The uncorrected formation energy is 1.0 eV/f.u.

abc: 6.8239 6.8239 6.8239
angles: 90.00 90.00 90.00
Closest atoms and distances in Å follow each position.
Atoms (fractional coordinates):
1 Cs 0.0000 0.0000 0.0000  6 Br 3.41
2 Se 0.5000 0.5000 0.5000  12 Br 4.83
3 Br 0.0000 0.0000 0.5000  2 Cs 3.41
4 Br 0.0000 0.5000 0.0000  2 Cs 3.41
5 Br 0.5000 0.0000 0.0000  2 Cs 3.41